Density functional theory data (PBE-GGA) for a relaxed PmPr2Rh2 crystal.

abc: 3.993 6.672 6.038
angles: 63.84 70.69 72.59
Sites, in units of the cell vectors:
Rh 0.036 0.174 0.253
Rh 0.964 0.826 0.747
Pm 0.500 0.500 0.000
Pr 0.314 0.173 0.698
Pr 0.686 0.827 0.302

The space group is C2/m (12). As for the formation energy: -54 kJ/mol of atoms. The energy relative to the lowest polymorph listed for this composition is 0 meV per atom. The density is 7.838 Mg/m³.

---

Density functional theory data (PBE-GGA) for a relaxed Pm2Pr2Rh crystal.

abc: 7.613 7.161 8.307
angles: 72.93 56.49 57.89
Sites, in units of the cell vectors:
Pr 0.180 0.000 0.592
Pr 0.360 0.000 0.898
Pr 0.820 0.000 0.408
Pr 0.640 0.000 0.102
Rh 0.127 0.746 0.000
Rh 0.873 0.254 0.000
Pm 0.977 0.449 0.245
Pm 0.425 0.551 0.245
Pm 0.575 0.449 0.755
Pm 0.023 0.551 0.755

The space group is C2/m (12). As for the formation energy: -24 kJ/mol of atoms. The density is 7.007 Mg/m³.

---

Density functional theory data (PBE-GGA) for a relaxed Pm12PrRh4 crystal.

abc: 9.004 9.004 9.004
angles: 109.47 109.47 109.47
Sites, in units of the cell vectors:
Pm 0.174 0.317 0.492
Pm 0.857 0.174 0.683
Pm 0.683 0.857 0.174
Pm 0.683 0.508 0.826
Pm 0.508 0.826 0.683
Pm 0.826 0.317 0.143
Pm 0.143 0.826 0.317
Pm 0.826 0.683 0.508
Pm 0.317 0.143 0.826
Pm 0.174 0.683 0.857
Pm 0.492 0.174 0.317
Pm 0.317 0.492 0.174
Pr 0.000 0.000 0.000
Rh 0.500 0.000 0.000
Rh 0.000 0.500 0.000
Rh 0.500 0.500 0.500
Rh 0.000 0.000 0.500

The space group is Im-3 (204). As for the formation energy: -23 kJ/mol of atoms. The density is 6.775 Mg/m³.

---

Number 1: total magnetization 0.00 Bohr magnetons per cell. Number 2: total magnetization 0.00 Bohr magnetons per cell. Number 3: total magnetization 0.00 Bohr magnetons per cell.